i | Density functional theory data (PBE) for SrAl2Br8 after structural relaxation.

It has space group C2/c (No. 15), with a = 19.135 Å, b = 10.662 Å, c = 10.627 Å, α = 90.00°, β = 121.30° and γ = 90.00°. The inequivalent atoms are Sr at (0.000, 0.028, 0.250), Al at (0.096, 0.249, 0.060), Br at (0.042, 0.173, 0.567), Br at (0.108, 0.448, 0.001), Br at (0.137, 0.221, 0.309) and Br at (0.164, 0.103, 0.997).

The calculation puts the total magnetization at 0.00 μB/f.u.

***

ii | Density functional theory data (PBE) for SrAl2Br8 after structural relaxation.

It has space group C2/m (No. 12), with a = 13.740 Å, b = 10.165 Å, c = 6.818 Å, α = 90.00°, β = 100.53° and γ = 90.00°. The inequivalent atoms are Sr at (0.000, 0.000, 0.000), Al at (0.201, 0.000, 0.667), Br at (0.113, 0.183, 0.756), Br at (0.138, 0.500, 0.179) and Br at (0.194, 0.000, 0.319).

The calculation puts the total magnetization at 0.00 μB/f.u.

***

How do the energies compare? Relative to the most stable structure, in meV/atom: i 0; ii 16.

***

i | Density functional theory data (PBE) for Ta2AlBr after structural relaxation.

It has space group Pmmm (No. 47), with a = 3.013 Å, b = 3.026 Å, c = 8.271 Å, α = 90.00°, β = 90.00° and γ = 90.00°. The inequivalent atoms are Ta at (0.000, 0.000, 0.220), Al at (0.500, 0.500, 0.000) and Br at (0.500, 0.000, 0.500).

The calculation puts the total magnetization at 0.00 μB/f.u.

***

ii | Density functional theory data (PBE) for Ta2AlBr after structural relaxation.

It has space group P4mm (No. 99), with a = 3.204 Å, b = 3.204 Å, c = 8.295 Å, α = 90.00°, β = 90.00° and γ = 90.00°. The inequivalent atoms are Ta at (0.000, 0.000, 0.000), Ta at (0.500, 0.500, 0.214), Al at (0.000, 0.000, 0.395) and Br at (0.500, 0.500, 0.772).

The calculation puts the total magnetization at 0.00 μB/f.u.

***

iii | Density functional theory data (PBE) for Ta2AlBr after structural relaxation.

It has space group Pmmm (No. 47), with a = 3.013 Å, b = 4.793 Å, c = 5.195 Å, α = 90.00°, β = 90.00° and γ = 90.00°. The inequivalent atoms are Ta at (0.000, 0.000, 0.000), Ta at (0.500, 0.000, 0.500), Al at (0.000, 0.500, 0.500) and Br at (0.500, 0.500, 0.000).

The calculation puts the total magnetization at 0.00 μB/f.u.

***

How do the energies compare? Relative to the most stable structure, in meV/atom: i 70; ii 0; iii 279.

***

i | Density functional theory data (PBE) for TaAl2Br after structural relaxation.

It has space group R3m (No. 160, hexagonal axes), with a = 3.0819 Å, b = 3.0819 Å, c = 31.8143 Å, α = 90.00°, β = 90.00° and γ = 120.00°. The inequivalent atoms are Ta at (0.0000, 0.0000, 0.0000), Al at (0.0000, 0.0000, 0.2621), Al at (0.0000, 0.0000, 0.5235) and Br at (0.0000, 0.0000, 0.7273).

The calculation puts the total magnetization at 0.00 μB/f.u.

***

ii | Density functional theory data (PBE) for TaAl2Br after structural relaxation.

It has space group R-3m (No. 166, hexagonal axes), with a = 3.1762 Å, b = 3.1762 Å, c = 25.6687 Å, α = 90.00°, β = 90.00° and γ = 120.00°. The inequivalent atoms are Ta at (0.0000, 0.0000, 0.0000), Al at (0.0000, 0.0000, 0.2525) and Br at (0.0000, 0.0000, 0.5000).

The calculation puts the total magnetization at 0.00 μB/f.u.

***

How do the energies compare? Relative to the most stable structure, in meV/atom: i 0; ii 39.